No. 1
{"formula": "Nd2Y3TmTe6", "functional": "GGA-PBE", "state": "relaxed", "space_group": "C2/m, No. 12", "energy_ev_per_cell": -68.18, "volume_a3_per_fu": 362.1, "crystal_system": "monoclinic", "raw_formation_energy_ev_per_atom": -1.3272, "lattice": [[4.3659, 0.0000, 0.0000], [0.0000, 8.8403, 0.3618], [-2.1829, -2.5056, 9.2791]], "species": ["Te", "Te", "Nd", "Tm", "Nd", "Y", "Y", "Y", "Te", "Te", "Te", "Te"], "frac_coords": [[0.9965, 0.2437, 0.9931], [0.6609, 0.0725, 0.3218], [0.1722, 0.3374, 0.3444], [0.5000, 0.0000, 0.0000], [0.8278, 0.6626, 0.6556], [0.8248, 0.1646, 0.6495], [0.1752, 0.8354, 0.3505], [0.5000, 0.5000, 0.0000], [0.0035, 0.7563, 0.0069], [0.6611, 0.5883, 0.3222], [0.3391, 0.9275, 0.6782], [0.3389, 0.4117, 0.6778]]}

***

No. 2
{"formula": "Nd2YTmTe5", "functional": "GGA-PBE", "state": "relaxed", "space_group": "P4/mmm, No. 123", "energy_ev_per_cell": -43.63, "volume_a3_per_fu": 347.3, "crystal_system": "tetragonal", "raw_formation_energy_ev_per_atom": -0.8283, "lattice": [[5.4918, 0.0000, 0.0000], [0.0000, 5.4918, 0.0000], [0.0000, 0.0000, 11.5160]], "species": ["Tm", "Nd", "Te", "Te", "Te", "Nd", "Y", "Te", "Te"], "frac_coords": [[0.0000, 0.0000, 0.5000], [0.5000, 0.5000, 0.3349], [0.0000, 0.5000, 0.5000], [0.5000, 0.5000, 0.0000], [0.0000, 0.0000, 0.2465], [0.5000, 0.5000, 0.6651], [0.0000, 0.0000, 0.0000], [0.0000, 0.0000, 0.7535], [0.5000, 0.0000, 0.5000]]}

***

No. 3
{"formula": "Nd4YTm3Te8", "functional": "GGA-PBE", "state": "relaxed", "space_group": "R-3m, No. 166", "energy_ev_per_cell": -85.20, "volume_a3_per_fu": 485.2, "crystal_system": "trigonal", "raw_formation_energy_ev_per_atom": -1.3196, "lattice": [[8.6800, 0.0000, 0.0000], [0.0000, 8.9649, 0.1947], [-4.3400, -4.3359, 6.1408]], "species": ["Nd", "Te", "Te", "Y", "Te", "Te", "Tm", "Tm", "Tm", "Te", "Nd", "Nd", "Te", "Te", "Te", "Nd"], "frac_coords": [[0.5000, 0.0000, 0.5000], [0.7539, 0.2657, 0.5077], [0.7538, 0.2657, 0.0119], [0.0000, 0.5000, 0.0000], [0.7419, 0.7343, 0.9881], [0.2558, 0.2676, 0.5117], [0.5000, 0.5000, 0.5000], [0.5000, 0.5000, 0.0000], [0.0000, 0.5000, 0.5000], [0.2581, 0.2657, 0.0119], [0.0000, 0.0000, 0.5000], [0.0000, 0.0000, 0.0000], [0.2462, 0.7343, 0.9881], [0.2461, 0.7343, 0.4923], [0.7442, 0.7324, 0.4883], [0.5000, 0.0000, 0.0000]]}